Entry 1:
Sr4YAu after structural relaxation. Source: Alexandria via LeMat-Bulk, functional PBE.

CIF file:
```
data_Sr4YAu
_space_group_name_H-M_alt 'P 1'
_space_group_IT_number 1
_space_group_name_Hall 'P 1'
_cell_length_a 7.206
_cell_length_b 7.206
_cell_length_c 7.206
_cell_angle_alpha 60.00
_cell_angle_beta 60.00
_cell_angle_gamma 60.00
loop_
_atom_site_label
_atom_site_fract_x
_atom_site_fract_y
_atom_site_fract_z
Sr1 0.874 0.375 0.375
Sr2 0.375 0.375 0.874
Sr3 0.375 0.874 0.375
Sr4 0.375 0.375 0.375
Y1 0.750 0.750 0.750
Au1 0.000 0.000 0.000
```

Calculated values
- density (Mg/m³) = 3.99
- E_form (eV per atom) = 0.506
- space group = No. 216
- E_tot (eV/cell) = -13.43
- spin magnetization (μB per atom) = 0.1317
- volume (A^3/atom) = 44.105
- crystal system = cubic

Entry 2:
SrYAu3 after structural relaxation. Source: Alexandria via LeMat-Bulk, functional PBE.

CIF file:
```
data_SrYAu3
_space_group_name_H-M_alt 'P 1'
_space_group_IT_number 1
_space_group_name_Hall 'P 1'
_cell_length_a 5.427
_cell_length_b 5.427
_cell_length_c 5.427
_cell_angle_alpha 90.00
_cell_angle_beta 90.00
_cell_angle_gamma 90.00
loop_
_atom_site_label
_atom_site_fract_x
_atom_site_fract_y
_atom_site_fract_z
Y1 0.500 0.500 0.500
Sr1 0.000 0.000 0.000
Au1 0.000 0.500 0.000
Au2 0.000 0.000 0.500
Au3 0.500 0.000 0.000
```

Calculated values
- density (Mg/m³) = 7.97
- E_form (eV per atom) = 0.261
- space group = No. 221
- energy relative to the lowest polymorph listed for this composition (eV per atom) = 0.562
- E_tot (eV/cell) = -16.67
- spin magnetization (μB per atom) = 0.0000
- volume (A^3/atom) = 31.973
- crystal system = cubic

Entry 3:
SrY2Au2 after structural relaxation. Source: Alexandria via LeMat-Bulk, functional PBE.

CIF file:
```
data_SrY2Au2
_space_group_name_H-M_alt 'P 1'
_space_group_IT_number 1
_space_group_name_Hall 'P 1'
_cell_length_a 5.379
_cell_length_b 5.379
_cell_length_c 6.761
_cell_angle_alpha 66.56
_cell_angle_beta 66.56
_cell_angle_gamma 90.00
loop_
_atom_site_label
_atom_site_fract_x
_atom_site_fract_y
_atom_site_fract_z
Y1 0.343 0.343 0.314
Y2 0.657 0.657 0.686
Sr1 0.000 0.000 0.000
Au1 0.750 0.250 0.500
Au2 0.250 0.750 0.500
```

Calculated values
- density (Mg/m³) = 6.77
- E_form (eV per atom) = -0.424
- space group = No. 139
- energy relative to the lowest polymorph listed for this composition (eV per atom) = 0.193
- E_tot (eV/cell) = -23.28
- spin magnetization (μB per atom) = 0.1541
- volume (A^3/atom) = 32.342
- crystal system = tetragonal

Entry 4:
SrY2Au after structural relaxation. Source: Alexandria via LeMat-Bulk, functional PBE.

CIF file:
```
data_SrY2Au
_space_group_name_H-M_alt 'P 1'
_space_group_IT_number 1
_space_group_name_Hall 'P 1'
_cell_length_a 4.069
_cell_length_b 5.358
_cell_length_c 5.403
_cell_angle_alpha 90.00
_cell_angle_beta 90.00
_cell_angle_gamma 90.00
loop_
_atom_site_label
_atom_site_fract_x
_atom_site_fract_y
_atom_site_fract_z
Au1 0.500 0.000 0.500
Sr1 0.000 0.500 0.500
Y1 0.000 0.000 0.000
Y2 0.500 0.500 0.000
```

Calculated values
- density (Mg/m³) = 6.52
- E_form (eV per atom) = -0.100
- space group = No. 47
- energy relative to the lowest polymorph listed for this composition (eV per atom) = 0.243
- E_tot (eV/cell) = -18.29
- spin magnetization (μB per atom) = 0.0001
- volume (A^3/atom) = 29.451
- crystal system = orthorhombic

Which of these has the lowest volume? SrY2Au

Please write out number 4 again, unchanged.
SrY2Au after structural relaxation. Source: Alexandria via LeMat-Bulk, functional PBE.

CIF file:
```
data_SrY2Au
_space_group_name_H-M_alt 'P 1'
_space_group_IT_number 1
_space_group_name_Hall 'P 1'
_cell_length_a 4.069
_cell_length_b 5.358
_cell_length_c 5.403
_cell_angle_alpha 90.00
_cell_angle_beta 90.00
_cell_angle_gamma 90.00
loop_
_atom_site_label
_atom_site_fract_x
_atom_site_fract_y
_atom_site_fract_z
Au1 0.500 0.000 0.500
Sr1 0.000 0.500 0.500
Y1 0.000 0.000 0.000
Y2 0.500 0.500 0.000
```

Calculated values
- density (Mg/m³) = 6.52
- E_form (eV per atom) = -0.100
- space group = No. 47
- energy relative to the lowest polymorph listed for this composition (eV per atom) = 0.243
- E_tot (eV/cell) = -18.29
- spin magnetization (μB per atom) = 0.0001
- volume (A^3/atom) = 29.451
- crystal system = orthorhombic

density of number 3 (SrY2Au2)? 6.77 Mg/m³

Please write out number 3 again, unchanged.
SrY2Au2 after structural relaxation. Source: Alexandria via LeMat-Bulk, functional PBE.

CIF file:
```
data_SrY2Au2
_space_group_name_H-M_alt 'P 1'
_space_group_IT_number 1
_space_group_name_Hall 'P 1'
_cell_length_a 5.379
_cell_length_b 5.379
_cell_length_c 6.761
_cell_angle_alpha 66.56
_cell_angle_beta 66.56
_cell_angle_gamma 90.00
loop_
_atom_site_label
_atom_site_fract_x
_atom_site_fract_y
_atom_site_fract_z
Y1 0.343 0.343 0.314
Y2 0.657 0.657 0.686
Sr1 0.000 0.000 0.000
Au1 0.750 0.250 0.500
Au2 0.250 0.750 0.500
```

Calculated values
- density (Mg/m³) = 6.77
- E_form (eV per atom) = -0.424
- space group = No. 139
- energy relative to the lowest polymorph listed for this composition (eV per atom) = 0.193
- E_tot (eV/cell) = -23.28
- spin magnetization (μB per atom) = 0.1541
- volume (A^3/atom) = 32.342
- crystal system = tetragonal